This record from the Alexandria database describes crystalline Na3MgTl at its relaxed geometry. The functional is PBE.

- VASP energy (eV per atom) = -1.446
- V (Å³ per atom) = 34.1
- crystal system = orthorhombic
- relative energy among the computed polymorphs (eV/atom) = 0.000
- formation energy from the elements (eV per atom) = 0.137
- magnetization (μB/atom) = 0.00

a b c (Å): 3.308 9.347 9.347
angles (deg): 36.18 90.00 90.00
Positions (direct):
Na: 0.000 0.000 0.000
Na: 0.500 0.077 0.583
Na: 0.500 0.583 0.077
Mg: 0.500 0.165 0.165
Tl: 0.000 0.655 0.655

=====

This record from the Alexandria database describes crystalline Na3MgTl3 at its relaxed geometry. The functional is PBE.

- VASP energy (eV per atom) = -1.843
- V (Å³ per atom) = 29.7
- crystal system = monoclinic
- formation energy from the elements (eV per atom) = -0.036
- magnetization (μB/atom) = 0.00

a b c (Å): 6.629 6.629 9.894
angles (deg): 91.10 91.10 107.11
Positions (direct):
Na: 0.166 0.834 0.000
Na: 0.235 0.765 0.500
Na: 0.411 0.411 0.171
Na: 0.589 0.589 0.829
Na: 0.765 0.235 0.500
Na: 0.834 0.166 0.000
Mg: 0.298 0.298 0.531
Mg: 0.702 0.702 0.469
Tl: 0.033 0.033 0.291
Tl: 0.067 0.484 0.763
Tl: 0.484 0.067 0.763
Tl: 0.516 0.933 0.237
Tl: 0.933 0.516 0.237
Tl: 0.967 0.967 0.709

=====

This record from the Alexandria database describes crystalline NaMgTl at its relaxed geometry. The functional is PBE.

- VASP energy (eV per atom) = -1.814
- V (Å³ per atom) = 29.4
- crystal system = tetragonal
- relative energy among the computed polymorphs (eV/atom) = 0.000
- formation energy from the elements (eV per atom) = -0.054
- magnetization (μB/atom) = 0.00

a b c (Å): 12.630 12.630 12.630
angles (deg): 162.79 162.79 24.43
Positions (direct):
Na: 0.072 0.072 0.000
Na: 0.928 0.928 0.000
Mg: 0.215 0.215 0.000
Mg: 0.785 0.785 0.000
Tl: 0.350 0.350 0.000
Tl: 0.650 0.650 0.000

=====

This record from the Alexandria database describes crystalline Na3Mg2Tl2 at its relaxed geometry. The functional is PBE.

- VASP energy (eV per atom) = -1.757
- V (Å³ per atom) = 26.4
- crystal system = monoclinic
- formation energy from the elements (eV per atom) = -0.060
- magnetization (μB/atom) = 0.00

a b c (Å): 5.225 5.225 8.363
angles (deg): 108.06 108.06 60.03
Positions (direct):
Na: 0.000 0.000 0.000
Na: 0.141 0.141 0.423
Na: 0.859 0.859 0.577
Mg: 0.284 0.284 0.852
Mg: 0.716 0.716 0.148
Tl: 0.418 0.418 0.256
Tl: 0.582 0.582 0.744

=====

This record from the Alexandria database describes crystalline NaMgTl5 at its relaxed geometry. The functional is PBE.

- VASP energy (eV per atom) = -2.124
- V (Å³ per atom) = 29.5
- crystal system = tetragonal
- formation energy from the elements (eV per atom) = -0.018
- magnetization (μB/atom) = 0.00

a b c (Å): 5.266 5.266 7.455
angles (deg): 90.00 90.00 90.00
Positions (direct):
Na: 0.000 0.000 0.000
Mg: 0.000 0.000 0.500
Tl: 0.000 0.500 0.278
Tl: 0.000 0.500 0.722
Tl: 0.500 0.000 0.278
Tl: 0.500 0.000 0.722
Tl: 0.500 0.500 0.000

=====

This record from the Alexandria database describes crystalline NaMgTl at its relaxed geometry. The functional is PBE.

- VASP energy (eV per atom) = -1.675
- V (Å³ per atom) = 31.1
- crystal system = cubic
- relative energy among the computed polymorphs (eV/atom) = 0.139
- formation energy from the elements (eV per atom) = 0.085
- magnetization (μB/atom) = 0.00

a b c (Å): 5.089 5.089 5.089
angles (deg): 60.00 60.00 60.00
Positions (direct):
Na: 0.000 0.000 0.000
Mg: 0.500 0.500 0.500
Tl: 0.750 0.750 0.750

=====

This record from the Alexandria database describes crystalline Na7MgTl3 at its relaxed geometry. The functional is PBE.

- VASP energy (eV per atom) = -1.617
- V (Å³ per atom) = 32.3
- crystal system = trigonal
- formation energy from the elements (eV per atom) = 0.013
- magnetization (μB/atom) = 0.00

a b c (Å): 7.145 7.145 8.046
angles (deg): 90.00 90.00 120.00
Positions (direct):
Na: 0.000 0.000 0.000
Na: 0.169 0.338 0.627
Na: 0.169 0.831 0.627
Na: 0.501 0.002 0.998
Na: 0.501 0.499 0.998
Na: 0.662 0.831 0.627
Na: 0.998 0.499 0.998
Mg: 0.667 0.333 0.624
Tl: 0.337 0.169 0.319
Tl: 0.831 0.169 0.319
Tl: 0.831 0.663 0.319

=====

This record from the Alexandria database describes crystalline NaMgTl at its relaxed geometry. The functional is PBE.

- VASP energy (eV per atom) = -1.798
- V (Å³ per atom) = 26.4
- crystal system = tetragonal
- relative energy among the computed polymorphs (eV/atom) = 0.016
- formation energy from the elements (eV per atom) = -0.038
- magnetization (μB/atom) = 0.00

a b c (Å): 5.843 5.843 5.843
angles (deg): 140.79 140.79 56.66
Positions (direct):
Na: 0.000 0.000 0.000
Mg: 0.320 0.320 0.000
Tl: 0.672 0.672 0.000

=====

This record from the Alexandria database describes crystalline NaMg5Tl4 at its relaxed geometry. The functional is PBE.

- VASP energy (eV per atom) = -1.879
- V (Å³ per atom) = 25.4
- crystal system = tetragonal
- formation energy from the elements (eV per atom) = -0.003
- magnetization (μB/atom) = 0.00

a b c (Å): 3.695 3.695 18.609
angles (deg): 90.00 90.00 90.00
Positions (direct):
Na: 0.000 0.000 0.000
Mg: 0.500 0.500 0.112
Mg: 0.500 0.500 0.303
Mg: 0.500 0.500 0.500
Mg: 0.500 0.500 0.697
Mg: 0.500 0.500 0.888
Tl: 0.000 0.000 0.203
Tl: 0.000 0.000 0.402
Tl: 0.000 0.000 0.598
Tl: 0.000 0.000 0.797

=====

This record from the Alexandria database describes crystalline NaMgTl4 at its relaxed geometry. The functional is PBE.

- VASP energy (eV per atom) = -2.005
- V (Å³ per atom) = 31.3
- crystal system = cubic
- relative energy among the computed polymorphs (eV/atom) = 0.115
- formation energy from the elements (eV per atom) = 0.058
- magnetization (μB/atom) = 0.00

a b c (Å): 6.426 6.426 6.426
angles (deg): 60.00 60.00 60.00
Positions (direct):
Na: 0.000 0.000 0.000
Mg: 0.250 0.250 0.250
Tl: 0.125 0.625 0.625
Tl: 0.625 0.125 0.625
Tl: 0.625 0.625 0.125
Tl: 0.625 0.625 0.625

=====

This record from the Alexandria database describes crystalline Na12MgTl7 at its relaxed geometry. The functional is PBE.

- VASP energy (eV per atom) = -1.783
- V (Å³ per atom) = 30.9
- crystal system = trigonal
- relative energy among the computed polymorphs (eV/atom) = 0.000
- formation energy from the elements (eV per atom) = -0.084
- magnetization (μB/atom) = 0.00

a b c (Å): 9.076 9.076 9.076
angles (deg): 107.28 107.28 107.28
Positions (direct):
Na: 0.018 0.142 0.698
Na: 0.142 0.698 0.018
Na: 0.173 0.636 0.458
Na: 0.302 0.982 0.858
Na: 0.364 0.542 0.827
Na: 0.458 0.173 0.636
Na: 0.542 0.827 0.364
Na: 0.636 0.458 0.173
Na: 0.698 0.018 0.142
Na: 0.827 0.364 0.542
Na: 0.858 0.302 0.982
Na: 0.982 0.858 0.302
Mg: 0.500 0.500 0.500
Tl: 0.000 0.000 0.000
Tl: 0.128 0.260 0.404
Tl: 0.260 0.404 0.128
Tl: 0.404 0.128 0.260
Tl: 0.596 0.872 0.740
Tl: 0.740 0.596 0.872
Tl: 0.872 0.740 0.596

=====

This record from the Alexandria database describes crystalline NaMg4Tl8 at its relaxed geometry. The functional is PBE.

- VASP energy (eV per atom) = -2.060
- V (Å³ per atom) = 28.1
- crystal system = tetragonal
- relative energy among the computed polymorphs (eV/atom) = 0.000
- formation energy from the elements (eV per atom) = -0.012
- magnetization (μB/atom) = 0.00

a b c (Å): 8.240 8.240 8.240
angles (deg): 98.37 98.37 135.16
Positions (direct):
Na: 0.000 0.000 0.000
Mg: 0.000 0.000 0.500
Mg: 0.000 0.500 0.000
Mg: 0.500 0.000 0.000
Mg: 0.500 0.500 0.500
Tl: 0.000 0.342 0.342
Tl: 0.000 0.658 0.658
Tl: 0.282 0.500 0.782
Tl: 0.342 0.000 0.342
Tl: 0.500 0.282 0.782
Tl: 0.500 0.718 0.218
Tl: 0.658 0.000 0.658
Tl: 0.718 0.500 0.218